Entry 1:
VASP calculation (PBE) on an optimized crystal structure of Ho6Mg5Al.

Size of the total moment, μB per formula unit: 0.00
Formation energy from the elements, eV/atom: -0.14
SG: No. 65
E_tot, eV/atom: -3.403
Theoretical density, Mg/m³: 6.0

Cell lengths 5.276, 7.508, 8.353 Å; angles 90.00, 71.59, 90.00 degrees
Fractional positions:
Mg 0.668 0.500 0.663
Mg 0.670 0.000 0.659
Mg 0.000 0.500 0.000
Mg 0.332 0.500 0.337
Mg 0.330 0.000 0.341
Ho 0.500 0.240 0.000
Ho 0.162 0.756 0.676
Ho 0.162 0.244 0.676
Ho 0.500 0.760 0.000
Ho 0.838 0.244 0.324
Ho 0.838 0.756 0.324
Al 0.000 0.000 0.000



Entry 2:
VASP calculation (PBE) on an optimized crystal structure of MnIrPb2.

Size of the total moment, μB per formula unit: 3.68
Formation energy from the elements, eV/atom: 0.29
SG: No. 6
Polymorph energy (0 for the lowest one), meV per atom: 115
E_tot, eV/atom: -6.075
Theoretical density, Mg/m³: 12.8

Cell lengths 4.034, 4.051, 5.631 Å; angles 69.07, 90.00, 90.00 degrees
Site moments in Bohr magnetons follow the coordinates.
Fractional positions:
Pb 0.000 0.980 0.917  -0.05
Pb 0.500 0.272 0.328  -0.05
Ir 0.000 0.694 0.486  0.21
Mn 0.500 0.554 0.768  3.45



Entry 3:
VASP calculation (PBE) on an optimized crystal structure of SrLi2AgPt.

Size of the total moment, μB per formula unit: 0.00
Formation energy from the elements, eV/atom: -0.24
SG: No. 123
E_tot, eV/atom: -3.121
Theoretical density, Mg/m³: 5.6

Cell lengths 4.737, 4.737, 5.331 Å; angles 90.00, 90.00, 90.00 degrees
Fractional positions:
Li 0.000 0.500 0.000
Li 0.500 0.000 0.000
Sr 0.500 0.500 0.500
Pt 0.000 0.000 0.000
Ag 0.000 0.000 0.500



Entry 4:
VASP calculation (PBE) on an optimized crystal structure of TiCuNi2.

Size of the total moment, μB per formula unit: 0.00
Formation energy from the elements, eV/atom: -0.28
SG: No. 225
E_tot, eV/atom: -6.173
Theoretical density, Mg/m³: 7.7

Cell lengths 4.111, 4.111, 4.111 Å; angles 60.00, 60.00, 60.00 degrees
Fractional positions:
Ni 0.750 0.750 0.750
Ni 0.250 0.250 0.250
Ti 0.500 0.500 0.500
Cu 0.000 0.000 0.000



Entry 5:
VASP calculation (PBE) on an optimized crystal structure of AcNdDyTh.

Size of the total moment, μB per formula unit: 0.00
Formation energy from the elements, eV/atom: 0.05
SG: No. 99
Polymorph energy (0 for the lowest one), meV per atom: 0
E_tot, eV/atom: -5.179
Theoretical density, Mg/m³: 8.9

Cell lengths 3.697, 3.697, 10.478 Å; angles 90.00, 90.00, 90.00 degrees
Fractional positions:
Nd 0.500 0.500 0.799
Ac 0.000 0.000 0.077
Dy 0.500 0.500 0.342
Th 0.000 0.000 0.567



Entry 6:
VASP calculation (PBE) on an optimized crystal structure of Ac8Pt3SeI4.

Size of the total moment, μB per formula unit: 0.00
SG: No. 166
Formation energy (no corrections), eV/atom: -1.23
E_tot, eV/atom: -5.023
Theoretical density, Mg/m³: 8.2

Cell lengths 9.055, 9.982, 9.055 Å; angles 116.98, 120.00, 90.00 degrees
Fractional positions:
Pt 0.500 0.500 0.000
Pt 0.000 0.500 0.500
Pt 0.500 0.500 0.500
Ac 0.272 0.316 0.544
Ac 0.285 0.307 0.046
Ac 0.761 0.307 0.046
Ac 0.239 0.693 0.954
Ac 0.761 0.307 0.522
Ac 0.728 0.684 0.456
Ac 0.715 0.693 0.954
Ac 0.239 0.693 0.478
I 0.500 0.000 0.000
I 0.000 0.000 0.500
I 0.000 0.000 0.000
I 0.500 0.000 0.500
Se 0.000 0.500 0.000



Entry 7:
VASP calculation (PBE) on an optimized crystal structure of SbTeIr2Br.

Size of the total moment, μB per formula unit: 0.00
SG: No. 123
Formation energy (no corrections), eV/atom: 1.29
E_tot, eV/atom: -4.037
Theoretical density, Mg/m³: 8.9

Cell lengths 4.950, 5.419, 4.950 Å; angles 90.00, 90.00, 90.00 degrees
Fractional positions:
Te 0.500 0.500 0.500
Sb 0.000 0.000 0.000
Ir 0.000 0.000 0.500
Ir 0.500 0.000 0.000
Br 0.000 0.500 0.000



Entry 8:
VASP calculation (PBE) on an optimized crystal structure of K2YPuO6.

Size of the total moment, μB per formula unit: 1.00
SG: No. 225
Formation energy (no corrections), eV/atom: -2.56
E_tot, eV/atom: -7.833
Theoretical density, Mg/m³: 5.3

Cell lengths 6.070, 6.071, 8.585 Å; angles 90.00, 90.00, 90.00 degrees
Site moments in Bohr magnetons follow the coordinates.
Fractional positions:
Y 0.000 0.750 0.500  -0.02
Y 0.500 0.250 0.000  -0.02
O 0.764 0.986 0.000  -0.06
O 0.764 0.515 0.000  -0.06
O 0.264 0.485 0.500  -0.06
O 0.736 0.014 0.500  -0.06
O 0.000 0.750 0.764  -0.06
O 0.500 0.250 0.264  -0.06
O 0.236 0.986 0.000  -0.06
O 0.000 0.750 0.236  -0.06
O 0.500 0.250 0.736  -0.06
O 0.236 0.515 0.000  -0.06
O 0.736 0.485 0.500  -0.06
O 0.264 0.014 0.500  -0.06
Pu 0.500 0.250 0.500  1.40
Pu 0.000 0.750 0.000  1.40
K 0.500 0.750 0.250  0.00
K 0.000 0.250 0.750  0.00
K 0.000 0.250 0.250  0.00
K 0.500 0.750 0.750  0.00



Entry 9:
VASP calculation (PBE) on an optimized crystal structure of K2AlBr.

Size of the total moment, μB per formula unit: 0.01
SG: No. 38
Formation energy (no corrections), eV/atom: -0.47
Polymorph energy (0 for the lowest one), meV per atom: 44
E_tot, eV/atom: -2.377
Theoretical density, Mg/m³: 2.2

Cell lengths 9.980, 9.980, 3.931 Å; angles 90.00, 90.00, 21.17 degrees
Fractional positions:
Br 0.313 0.313 0.375
K 0.919 0.919 0.875
K 0.712 0.712 0.875
Al 0.556 0.556 0.376



Entry 10:
VASP calculation (PBE) on an optimized crystal structure of CdSnPb2Se4.

Size of the total moment, μB per formula unit: 0.00
SG: No. 10
Formation energy (no corrections), eV/atom: -0.50
E_tot, eV/atom: -3.785
Theoretical density, Mg/m³: 7.2

Cell lengths 4.274, 7.434, 7.401 Å; angles 70.49, 90.00, 90.00 degrees
Fractional positions:
Pb 0.000 0.000 0.000
Pb 0.500 0.000 0.500
Se 0.500 0.263 0.751
Se 0.000 0.731 0.764
Se 0.500 0.737 0.249
Se 0.000 0.269 0.236
Cd 0.500 0.500 0.000
Sn 0.000 0.500 0.500



Entry 11:
VASP calculation (PBE) on an optimized crystal structure of CdAs2Rh.

Size of the total moment, μB per formula unit: 0.00
Formation energy from the elements, eV/atom: -0.10
SG: No. 123
E_tot, eV/atom: -4.494
Theoretical density, Mg/m³: 8.2

Cell lengths 3.082, 3.082, 7.829 Å; angles 90.00, 90.00, 90.00 degrees
Fractional positions:
As 0.000 0.000 0.948
As 0.000 0.000 0.552
Rh 0.500 0.500 0.750
Cd 0.500 0.500 0.250



Entry 12:
VASP calculation (PBE) on an optimized crystal structure of AcCd6Sn6.

Size of the total moment, μB per formula unit: 0.00
Formation energy from the elements, eV/atom: -0.07
SG: No. 71
E_tot, eV/atom: -2.653
Theoretical density, Mg/m³: 7.7

Cell lengths 6.068, 8.163, 8.163 Å; angles 86.92, 68.18, 68.18 degrees
Fractional positions:
Sn 0.310 0.190 0.190
Sn 0.349 0.651 0.651
Sn 0.000 0.356 0.644
Sn 0.651 0.349 0.349
Sn 0.690 0.810 0.810
Sn 0.000 0.644 0.356
Cd 0.500 0.779 0.221
Cd 0.500 0.000 0.500
Cd 0.500 0.221 0.779
Cd 0.500 0.500 0.000
Cd 0.000 0.500 0.000
Cd 0.000 0.000 0.500
Ac 0.000 0.000 0.000



> size of the total moment of number 4 (TiCuNi2)?

0.00 μB per formula unit



> What is the formula in the second record?

MnIrPb2



Please write out number 8 again, unchanged.
VASP calculation (PBE) on an optimized crystal structure of K2YPuO6.

Size of the total moment, μB per formula unit: 1.00
SG: No. 225
Formation energy (no corrections), eV/atom: -2.56
E_tot, eV/atom: -7.833
Theoretical density, Mg/m³: 5.3

Cell lengths 6.070, 6.071, 8.585 Å; angles 90.00, 90.00, 90.00 degrees
Site moments in Bohr magnetons follow the coordinates.
Fractional positions:
Y 0.000 0.750 0.500  -0.02
Y 0.500 0.250 0.000  -0.02
O 0.764 0.986 0.000  -0.06
O 0.764 0.515 0.000  -0.06
O 0.264 0.485 0.500  -0.06
O 0.736 0.014 0.500  -0.06
O 0.000 0.750 0.764  -0.06
O 0.500 0.250 0.264  -0.06
O 0.236 0.986 0.000  -0.06
O 0.000 0.750 0.236  -0.06
O 0.500 0.250 0.736  -0.06
O 0.236 0.515 0.000  -0.06
O 0.736 0.485 0.500  -0.06
O 0.264 0.014 0.500  -0.06
Pu 0.500 0.250 0.500  1.40
Pu 0.000 0.750 0.000  1.40
K 0.500 0.750 0.250  0.00
K 0.000 0.250 0.750  0.00
K 0.000 0.250 0.250  0.00
K 0.500 0.750 0.750  0.00



Please write out number 9 again, unchanged.
VASP calculation (PBE) on an optimized crystal structure of K2AlBr.

Size of the total moment, μB per formula unit: 0.01
SG: No. 38
Formation energy (no corrections), eV/atom: -0.47
Polymorph energy (0 for the lowest one), meV per atom: 44
E_tot, eV/atom: -2.377
Theoretical density, Mg/m³: 2.2

Cell lengths 9.980, 9.980, 3.931 Å; angles 90.00, 90.00, 21.17 degrees
Fractional positions:
Br 0.313 0.313 0.375
K 0.919 0.919 0.875
K 0.712 0.712 0.875
Al 0.556 0.556 0.376